NaNiPd2F8 | PBE with a Hubbard U | optimized geometry

a b c (Å): 7.0387 7.0387 7.2216
angles (deg): 90.00 90.00 90.00
Closest atoms and distances in Å follow each position.
Space group I-4m2 (No. 119)
Unique sites:
Na (0.0000, 0.0000, 0.0000) [2 per cell]  4 F 2.29
Ni (0.0000, 0.5000, 0.2500) [2 per cell]  8 F 2.10-2.35
Pd (0.0000, 0.0000, 0.5000) [2 per cell]  4 F 2.04
Pd (0.0000, 0.5000, 0.7500) [2 per cell]  4 F 2.03
F (0.0000, 0.2057, 0.3004) [8 per cell]  1 Pd 2.04, 1 Ni 2.10
F (0.0000, 0.3246, 0.9739) [8 per cell]  1 Pd 2.03

E = -90.87 eV per cell